<i>
Compound: Nd2HgS
Source: the Alexandria database
Functional: GGA-PBE
Structure: optimized geometry

a = 8.2465 Å, b = 8.2465 Å, c = 8.2465 Å
α = 28.11°, β = 28.11°, γ = 28.11°
Fractional coordinates of all 4 atoms:
Nd  0.0000  0.0000  0.0000
Nd  0.1941  0.1941  0.1941
Hg  0.4306  0.4306  0.4306
S  0.5989  0.5989  0.5989

Results
Its space group is R3m. As for the calculated volume: 110.0 Å³ per cell. Its density of states at the Fermi level is 2.25 states/eV/cell.

<ii>
Compound: Nd2HgS
Source: the Alexandria database
Functional: GGA-PBE
Structure: optimized geometry

a = 7.9901 Å, b = 7.9901 Å, c = 7.9901 Å
α = 29.53°, β = 29.53°, γ = 29.53°
Fractional coordinates of all 4 atoms:
Nd  0.2380  0.2380  0.2380
Nd  0.7620  0.7620  0.7620
Hg  0.0000  0.0000  0.0000
S  0.5000  0.5000  0.5000

Results
Its space group is R-3m. As for the calculated volume: 109.7 Å³ per cell. Its density of states at the Fermi level is 1.91 states/eV/cell.

Most stable: <ii>. Least stable: <i>.

<i>
Compound: Nd4Hg2S
Source: the Alexandria database
Functional: GGA-PBE
Structure: optimized geometry

a = 6.8913 Å, b = 6.8913 Å, c = 9.0023 Å
α = 121.34°, β = 121.34°, γ = 34.87°
Fractional coordinates of all 7 atoms:
Nd  0.0880  0.0880  0.3678
Nd  0.3353  0.3353  0.9238
Nd  0.6647  0.6647  0.0762
Nd  0.9120  0.9120  0.6322
Hg  0.3738  0.3738  0.3224
Hg  0.6262  0.6262  0.6776
S  0.0000  0.0000  0.0000

Results
Its space group is C2/m. As for the calculated volume: 204.9 Å³ per cell. Its density of states at the Fermi level is 7.22 states/eV/cell.

<ii>
Compound: Nd4Hg2S
Source: the Alexandria database
Functional: GGA-PBE
Structure: optimized geometry

a = 8.5031 Å, b = 8.5031 Å, c = 8.5031 Å
α = 142.97°, β = 142.97°, γ = 53.37°
Fractional coordinates of all 7 atoms:
Nd  0.0000  0.5000  0.5000
Nd  0.1875  0.1875  0.0000
Nd  0.5000  0.0000  0.5000
Nd  0.8125  0.8125  0.0000
Hg  0.3851  0.3851  0.0000
Hg  0.6149  0.6149  0.0000
S  0.0000  0.0000  0.0000

Results
Its space group is I4/mmm. As for the calculated volume: 221.6 Å³ per cell. Its density of states at the Fermi level is 3.69 states/eV/cell.

Most stable: <i>. Least stable: <ii>.

<i>
Compound: Nd3HgS
Source: the Alexandria database
Functional: GGA-PBE
Structure: optimized geometry

a = 9.2560 Å, b = 4.0256 Å, c = 15.6421 Å
α = 90.00°, β = 90.00°, γ = 90.00°
Fractional coordinates of all 20 atoms:
Nd  0.0154  0.2500  0.1063
Nd  0.1623  0.2500  0.5317
Nd  0.1705  0.7500  0.2980
Nd  0.3295  0.2500  0.7980
Nd  0.3377  0.7500  0.0317
Nd  0.4846  0.7500  0.6063
Nd  0.5154  0.2500  0.3937
Nd  0.6623  0.2500  0.9683
Nd  0.6705  0.7500  0.2020
Nd  0.8295  0.2500  0.7020
Nd  0.8377  0.7500  0.4683
Nd  0.9846  0.7500  0.8937
Hg  0.1118  0.7500  0.6914
Hg  0.3882  0.2500  0.1914
Hg  0.6118  0.7500  0.8086
Hg  0.8882  0.2500  0.3086
S  0.1749  0.2500  0.9515
S  0.3251  0.7500  0.4515
S  0.6749  0.2500  0.5485
S  0.8251  0.7500  0.0485

Results
Its space group is Pnma. As for the calculated volume: 582.8 Å³ per cell. Its density of states at the Fermi level is 17.75 states/eV/cell.

<ii>
Compound: Nd3HgS
Source: the Alexandria database
Functional: GGA-PBE
Structure: optimized geometry

a = 5.3810 Å, b = 5.3810 Å, c = 5.3810 Å
α = 90.00°, β = 90.00°, γ = 90.00°
Fractional coordinates of all 5 atoms:
Nd  0.0000  0.0000  0.5000
Nd  0.0000  0.5000  0.0000
Nd  0.5000  0.0000  0.0000
Hg  0.5000  0.5000  0.5000
S  0.0000  0.0000  0.0000

Results
Its space group is Pm-3m. As for the calculated volume: 155.8 Å³ per cell. Its density of states at the Fermi level is 3.36 states/eV/cell.

Most stable: <i>. Least stable: <ii>.